CaBSbI2 after structural relaxation. Source: the Alexandria database, functional PBE-GGA.

The structure in POSCAR format:
```
CaBSbI2
1.0
5.9913 0.0000 0.0000
0.0000 5.9913 0.0000
0.0000 0.0000 6.3173
Ca B Sb I
1 1 1 2
Cartesian
0.0000 0.0000 0.0000
2.9956 2.9956 3.1586
0.0000 0.0000 3.1586
0.0000 2.9956 0.0000
2.9956 0.0000 0.0000
```

## Properties
Uncorrected energy   -2.398 eV/atom
Raw formation energy   377 kJ/mol of formula units
D(E_F)   3.2 states/eV per cell
Energy above the most stable polymorph in this dataset   563.4 meV/atom
Space group   P4/mmm, No. 123

=====

Tb3ErTh2 after structural relaxation. Source: the Alexandria database, functional PBE-GGA.

The structure in POSCAR format:
```
Tb3ErTh2
1.0
3.4576 -5.7223 0.0000
3.4576 5.7223 0.0000
0.0000 0.0000 11.3221
Tb Er Th
6 2 4
Cartesian
1.7291 2.8166 8.4915
3.4576 5.6774 8.4915
1.7291 -2.8166 2.8305
5.1861 2.8166 8.4915
3.4576 -5.6774 2.8305
5.1861 -2.8166 2.8305
3.4576 0.0451 2.8305
3.4576 -0.0451 8.4915
1.7502 0.0000 0.0000
1.7502 0.0000 5.6610
5.1650 0.0000 0.0000
5.1650 0.0000 5.6610
```

## Properties
Uncorrected energy   -4.990 eV/atom
D(E_F)   15.7 states/eV per cell
Energy above the most stable polymorph in this dataset   530.9 meV/atom
Space group   Cmcm, No. 63
ΔE_f   3.4 eV per formula unit

=====

Tl8Sb2Au after structural relaxation. Source: the Alexandria database, functional PBE-GGA.

The structure in POSCAR format:
```
Tl8Sb2Au
1.0
9.0546 -2.6556 0.0000
9.0546 2.6556 0.0000
-2.3192 0.0000 7.0397
Tl Sb Au
8 2 1
Cartesian
-0.3876 0.0000 1.9628
1.7562 0.0000 5.4577
4.9597 0.0000 3.8438
7.3113 0.0000 0.3535
8.4788 0.0000 6.6862
10.8304 0.0000 3.1959
14.0338 0.0000 1.5819
16.1776 0.0000 5.0769
2.8835 0.0000 1.4009
12.9065 0.0000 5.6388
7.8950 0.0000 3.5198
```

## Properties
Uncorrected energy   -2.777 eV/atom
Raw formation energy   -9 kJ/mol of formula units
D(E_F)   3.3 states/eV per cell
Energy above the most stable polymorph in this dataset   0.0 meV/atom
Space group   C2/m, No. 12

=====

RbTaBO5 after structural relaxation. Source: the Alexandria database, functional PBE-GGA.

The structure in POSCAR format:
```
RbTaBO5
1.0
3.4542 -4.5276 0.0000
3.4542 4.5276 0.0000
-3.3290 0.0000 6.5986
Rb Ta B O
2 2 2 10
Cartesian
0.9574 3.7573 4.9489
2.6219 -3.7573 1.6496
1.7271 2.2638 0.0000
0.0626 -2.2638 3.2993
0.9574 0.4831 4.9489
2.6219 -0.4831 1.6496
2.6219 2.7744 1.6496
1.7539 0.3896 0.7866
0.0858 1.4042 5.7649
0.0894 -0.3896 4.0859
1.8290 1.4042 4.1330
1.7503 -1.4042 2.4656
3.4900 0.3896 2.5127
3.4935 -1.4042 0.8337
1.8255 -0.3896 5.8120
0.9574 -2.7744 4.9489
```

## Properties
Uncorrected energy   -7.640 eV/atom
Raw formation energy   -1624 kJ/mol of formula units
D(E_F)   5.3 states/eV per cell
Space group   C2/c, No. 15

=====

LiAc2Zn2 after structural relaxation. Source: the Alexandria database, functional PBE-GGA.

The structure in POSCAR format:
```
LiAc2Zn2
1.0
-2.1158 3.4911 4.7809
2.1158 -3.4911 4.7809
2.1158 3.4911 -4.7809
Li Ac Zn
1 2 2
Cartesian
0.0000 0.0000 0.0000
2.1158 0.0000 2.8870
0.0000 3.4911 1.8939
2.1158 1.6768 0.0000
0.0000 1.8144 4.7809
```

## Properties
Uncorrected energy   -2.691 eV/atom
D(E_F)   5.0 states/eV per cell
Energy above the most stable polymorph in this dataset   18.3 meV/atom
Space group   Immm, No. 71
ΔE_f   -0.8 eV per formula unit

=====

Nd3Dy2In2 after structural relaxation. Source: the Alexandria database, functional PBE-GGA.

The structure in POSCAR format:
```
Nd3Dy2In2
1.0
2.4773 -12.1296 0.0000
2.4773 12.1296 0.0000
0.0000 0.0000 3.5267
Nd Dy In
3 2 2
Cartesian
0.0000 0.0000 0.0000
2.4773 8.7006 0.0000
2.4773 -8.7006 0.0000
2.4773 5.1499 1.7634
2.4773 -5.1499 1.7634
2.4773 1.7296 1.7634
2.4773 -1.7296 1.7634
```

## Properties
Uncorrected energy   -4.305 eV/atom
D(E_F)   8.2 states/eV per cell
Energy above the most stable polymorph in this dataset   0.0 meV/atom
Space group   Cmmm, No. 65
ΔE_f   -1.2 eV per formula unit

=====

KRbBa2F after structural relaxation. Source: the Alexandria database, functional PBE-GGA.

The structure in POSCAR format:
```
KRbBa2F
1.0
5.7578 0.0000 0.0000
0.0000 5.7578 0.0000
0.0000 0.0000 7.7573
K Rb Ba F
1 1 2 1
Cartesian
0.0000 0.0000 0.0000
2.8789 2.8789 0.0000
0.0000 2.8789 3.8787
2.8789 0.0000 3.8787
2.8789 2.8789 3.8787
```

## Properties
Uncorrected energy   -2.490 eV/atom
Raw formation energy   -450 kJ/mol of formula units
D(E_F)   4.8 states/eV per cell
Space group   P4/mmm, No. 123

=====

CaLaGa after structural relaxation. Source: the Alexandria database, functional PBE-GGA.

The structure in POSCAR format:
```
CaLaGa
1.0
-1.6794 1.6794 9.3027
1.6794 -1.6794 9.3027
1.6794 1.6794 -9.3027
Ca La Ga
1 1 1
Cartesian
0.0000 0.0000 0.0000
0.0000 0.0000 6.2198
0.0000 0.0000 3.1253
```

## Properties
Uncorrected energy   -2.980 eV/atom
D(E_F)   4.6 states/eV per cell
Energy above the most stable polymorph in this dataset   781.8 meV/atom
Space group   I4mm, No. 107
ΔE_f   1.0 eV per formula unit